Crystalline AcThZr at its relaxed geometry. Source: Alexandria, functional PBE.

Unit cell a=3.5809 b=3.5809 c=8.6020 alpha=90.00 beta=90.00 gamma=120.00
Closest atoms and distances in Å follow each position.
Space group P3m1 (No. 156)
Unique sites:
Ac 0.0000 0.0000 0.0000 (multiplicity 1)  6 Ac 3.58, 3 Zr 3.58, 3 Th 3.69
Th 0.3333 0.6667 0.6440 (multiplicity 1)  3 Zr 3.33, 6 Th 3.58, 3 Ac 3.69
Zr 0.6667 0.3333 0.3401 (multiplicity 1)  3 Th 3.33, 6 Zr 3.58, 3 Ac 3.58

Properties
As for the density of states at the Fermi level: 3.79 states/eV per cell. The value obtained for the distance to the lowest polymorph of the same formula is 8.8 kJ/mol of formula units. For the total moment, the calculation gives 0.00 μB per atom.



Crystalline Ac3Ti at its relaxed geometry. Source: Alexandria, functional PBE.

Unit cell a=5.2990 b=5.2990 c=10.5944 alpha=90.00 beta=90.00 gamma=90.00
Closest atoms and distances in Å follow each position.
Space group I4/mmm (No. 139)
Unique sites:
Ac 0.0000 0.0000 0.0000 (multiplicity 2)  8 Ac 3.75, 4 Ti 3.75
Ac 0.0000 0.5000 0.2500 (multiplicity 4)  8 Ac 3.75, 4 Ti 3.75
Ti 0.0000 0.0000 0.5000 (multiplicity 2)  12 Ac 3.75

Properties
As for the density of states at the Fermi level: 14.40 states/eV per cell. The value obtained for the final energy is -4.687 eV per atom. For the total moment, the calculation gives 0.48 μB per atom.